Arrangement 1

The following is a DFT calculation (PBE-GGA) of a relaxed structure of SbMoSe2N.

a = 5.352 Å, b = 5.352 Å, c = 3.856 Å
α = 90.00°, β = 90.00°, γ = 90.00°
Sites, in units of the cell vectors:
Sb  0.000  0.000  0.000
Mo  0.500  0.500  0.500
Se  0.000  0.500  0.000
Se  0.500  0.000  0.000
N  0.000  0.000  0.500

Computed properties:
- SG = P4/mmm
- total moment (μB per formula unit) = 3.7

=====

Arrangement 2

The following is a DFT calculation (PBE-GGA) of a relaxed structure of SbMoSe2N.

a = 5.155 Å, b = 5.155 Å, c = 3.796 Å
α = 90.00°, β = 90.00°, γ = 90.00°
Sites, in units of the cell vectors:
Sb  0.000  0.000  0.000
Mo  0.500  0.500  0.500
Se  0.000  0.500  0.500
Se  0.500  0.000  0.500
N  0.500  0.500  0.000

Computed properties:
- SG = P4/mmm
- total moment (μB per formula unit) = 0.1

=====

Decreasing stability: arrangement 2, arrangement 1

=====

Arrangement 1

The following is a DFT calculation (PBE-GGA) of a relaxed structure of SbTe2MoN.

a = 5.511 Å, b = 5.511 Å, c = 3.818 Å
α = 90.00°, β = 90.00°, γ = 90.00°
Sites, in units of the cell vectors:
Sb  0.000  0.000  0.000
Te  0.000  0.500  0.500
Te  0.500  0.000  0.500
Mo  0.500  0.500  0.500
N  0.500  0.500  0.000

Computed properties:
- SG = P4/mmm
- total moment (μB per formula unit) = 0.0

=====

Arrangement 2

The following is a DFT calculation (PBE-GGA) of a relaxed structure of SbTe2MoN.

a = 5.768 Å, b = 5.768 Å, c = 3.904 Å
α = 90.00°, β = 90.00°, γ = 90.00°
Sites, in units of the cell vectors:
Sb  0.000  0.000  0.000
Te  0.000  0.500  0.000
Te  0.500  0.000  0.000
Mo  0.500  0.500  0.500
N  0.000  0.000  0.500

Computed properties:
- SG = P4/mmm
- total moment (μB per formula unit) = 3.7

=====

Arrangement 3

The following is a DFT calculation (PBE-GGA) of a relaxed structure of SbTe2MoN.

a = 5.293 Å, b = 5.293 Å, c = 5.303 Å
α = 90.00°, β = 90.00°, γ = 90.00°
Sites, in units of the cell vectors:
Sb  0.000  0.000  0.000
Te  0.000  0.500  0.500
Te  0.500  0.000  0.500
Mo  0.000  0.000  0.500
N  0.500  0.500  0.000

Computed properties:
- SG = P4/mmm
- total moment (μB per formula unit) = 2.4

=====

Decreasing stability: arrangement 1, arrangement 2, arrangement 3

=====

Arrangement 1

The following is a DFT calculation (PBE-GGA) of a relaxed structure of Sc2Mo2N.

a = 5.670 Å, b = 5.670 Å, c = 5.100 Å
α = 90.00°, β = 90.00°, γ = 90.00°
Sites, in units of the cell vectors:
Sc  0.165  0.335  0.000
Sc  0.335  0.835  0.000
Sc  0.665  0.165  0.000
Sc  0.835  0.665  0.000
Mo  0.172  0.672  0.500
Mo  0.328  0.172  0.500
Mo  0.672  0.828  0.500
Mo  0.828  0.328  0.500
N  0.000  0.000  0.500
N  0.500  0.500  0.500

Computed properties:
- SG = P4/mbm
- total moment (μB per formula unit) = 0.0

=====

Arrangement 2

The following is a DFT calculation (PBE-GGA) of a relaxed structure of Sc2Mo2N.

a = 7.920 Å, b = 7.920 Å, c = 7.920 Å
α = 155.96°, β = 155.96°, γ = 34.26°
Sites, in units of the cell vectors:
Sc  0.250  0.750  0.500
Sc  0.750  0.250  0.500
Mo  0.077  0.077  0.000
Mo  0.923  0.923  0.000
N  0.500  0.500  0.000

Computed properties:
- SG = I4/mmm
- total moment (μB per formula unit) = 0.0

=====

Decreasing stability: arrangement 1, arrangement 2

=====

Arrangement 1

The following is a DFT calculation (PBE-GGA) of a relaxed structure of Sc2MoN.

a = 5.849 Å, b = 5.849 Å, c = 5.849 Å
α = 116.44°, β = 116.44°, γ = 96.28°
Sites, in units of the cell vectors:
Sc  0.023  0.625  0.898
Sc  0.375  0.273  0.398
Sc  0.727  0.125  0.102
Sc  0.875  0.977  0.602
Mo  0.250  0.750  0.500
Mo  0.500  0.500  0.000
N  0.000  0.000  0.000
N  0.750  0.250  0.500

Computed properties:
- SG = I-42d
- total moment (μB per formula unit) = 1.0

=====

Arrangement 2

The following is a DFT calculation (PBE-GGA) of a relaxed structure of Sc2MoN.

a = 8.431 Å, b = 8.431 Å, c = 8.431 Å
α = 22.58°, β = 22.58°, γ = 22.58°
Sites, in units of the cell vectors:
Sc  0.077  0.077  0.077
Sc  0.923  0.923  0.923
Mo  0.500  0.500  0.500
N  0.000  0.000  0.000

Computed properties:
- SG = R-3m
- total moment (μB per formula unit) = 1.0

=====

Decreasing stability: arrangement 1, arrangement 2

=====

Arrangement 1

The following is a DFT calculation (PBE-GGA) of a relaxed structure of Sc2MoN.

a = 4.443 Å, b = 4.443 Å, c = 4.443 Å
α = 60.00°, β = 60.00°, γ = 60.00°
Sites, in units of the cell vectors:
Sc  0.250  0.250  0.250
Sc  0.750  0.750  0.750
Mo  0.000  0.000  0.000
N  0.500  0.500  0.500

Computed properties:
- SG = Fm-3m
- total moment (μB per formula unit) = 0.0

=====

Arrangement 2

The following is a DFT calculation (PBE-GGA) of a relaxed structure of Sc2MoN.

a = 8.090 Å, b = 8.090 Å, c = 8.090 Å
α = 21.88°, β = 21.88°, γ = 21.88°
Sites, in units of the cell vectors:
Sc  0.113  0.113  0.113
Sc  0.887  0.887  0.887
Mo  0.000  0.000  0.000
N  0.500  0.500  0.500

Computed properties:
- SG = R-3m
- total moment (μB per formula unit) = 0.0

=====

Decreasing stability: arrangement 2, arrangement 1

=====

Arrangement 1

The following is a DFT calculation (PBE-GGA) of a relaxed structure of ScMo3N.

a = 4.584 Å, b = 4.584 Å, c = 4.584 Å
α = 90.00°, β = 90.00°, γ = 90.00°
Sites, in units of the cell vectors:
Sc  0.000  0.000  0.000
Mo  0.000  0.000  0.500
Mo  0.000  0.500  0.000
Mo  0.500  0.000  0.000
N  0.500  0.500  0.500

Computed properties:
- SG = Pm-3m
- total moment (μB per formula unit) = 0.0

=====

Arrangement 2

The following is a DFT calculation (PBE-GGA) of a relaxed structure of ScMo3N.

a = 4.205 Å, b = 4.205 Å, c = 4.205 Å
α = 90.00°, β = 90.00°, γ = 90.00°
Sites, in units of the cell vectors:
Sc  0.000  0.000  0.000
Mo  0.000  0.500  0.500
Mo  0.500  0.000  0.500
Mo  0.500  0.500  0.000
N  0.500  0.500  0.500

Computed properties:
- SG = Pm-3m
- total moment (μB per formula unit) = 0.0

=====

Decreasing stability: arrangement 2, arrangement 1

=====

Arrangement 1

The following is a DFT calculation (PBE-GGA) of a relaxed structure of Sc3MoN.

a = 4.398 Å, b = 4.398 Å, c = 4.398 Å
α = 90.00°, β = 90.00°, γ = 90.00°
Sites, in units of the cell vectors:
Sc  0.000  0.000  0.500
Sc  0.000  0.500  0.000
Sc  0.500  0.000  0.000
Mo  0.500  0.500  0.500
N  0.000  0.000  0.000

Computed properties:
- SG = Pm-3m
- total moment (μB per formula unit) = 0.0

=====

Arrangement 2

The following is a DFT calculation (PBE-GGA) of a relaxed structure of Sc3MoN.

a = 4.914 Å, b = 4.914 Å, c = 4.914 Å
α = 90.00°, β = 90.00°, γ = 90.00°
Sites, in units of the cell vectors:
Sc  0.000  0.000  0.500
Sc  0.000  0.500  0.000
Sc  0.500  0.000  0.000
Mo  0.000  0.000  0.000
N  0.500  0.500  0.500

Computed properties:
- SG = Pm-3m
- total moment (μB per formula unit) = 0.0

=====

Decreasing stability: arrangement 1, arrangement 2

=====

Arrangement 1

The following is a DFT calculation (PBE-GGA) of a relaxed structure of ScMoSe2N.

a = 5.088 Å, b = 5.088 Å, c = 3.787 Å
α = 90.00°, β = 90.00°, γ = 90.00°
Sites, in units of the cell vectors:
Sc  0.000  0.000  0.000
Mo  0.500  0.500  0.500
Se  0.000  0.500  0.500
Se  0.500  0.000  0.500
N  0.500  0.500  0.000

Computed properties:
- SG = P4/mmm
- total moment (μB per formula unit) = 0.4

=====

Arrangement 2

The following is a DFT calculation (PBE-GGA) of a relaxed structure of ScMoSe2N.

a = 5.170 Å, b = 5.170 Å, c = 4.025 Å
α = 90.00°, β = 90.00°, γ = 90.00°
Sites, in units of the cell vectors:
Sc  0.000  0.000  0.000
Mo  0.500  0.500  0.500
Se  0.000  0.500  0.000
Se  0.500  0.000  0.000
N  0.000  0.000  0.500

Computed properties:
- SG = P4/mmm
- total moment (μB per formula unit) = 2.0

=====

Decreasing stability: arrangement 1, arrangement 2

=====

Arrangement 1

The following is a DFT calculation (PBE-GGA) of a relaxed structure of ScTeMoN2.

a = 4.187 Å, b = 4.187 Å, c = 5.708 Å
α = 90.00°, β = 90.00°, γ = 90.00°
Sites, in units of the cell vectors:
Sc  0.000  0.000  0.000
Te  0.000  0.000  0.500
Mo  0.500  0.500  0.500
N  0.000  0.500  0.000
N  0.500  0.000  0.000

Computed properties:
- SG = P4/mmm
- total moment (μB per formula unit) = 1.3

=====

Arrangement 2

The following is a DFT calculation (PBE-GGA) of a relaxed structure of ScTeMoN2.

a = 3.995 Å, b = 3.995 Å, c = 5.549 Å
α = 90.00°, β = 90.00°, γ = 90.00°
Sites, in units of the cell vectors:
Sc  0.000  0.000  0.000
Te  0.500  0.500  0.000
Mo  0.500  0.500  0.500
N  0.000  0.500  0.500
N  0.500  0.000  0.500

Computed properties:
- SG = P4/mmm
- total moment (μB per formula unit) = 0.1

=====

Decreasing stability: arrangement 2, arrangement 1

=====

Arrangement 1

The following is a DFT calculation (PBE-GGA) of a relaxed structure of ScTe2MoN.

a = 5.483 Å, b = 5.483 Å, c = 3.801 Å
α = 90.00°, β = 90.00°, γ = 90.00°
Sites, in units of the cell vectors:
Sc  0.000  0.000  0.000
Te  0.000  0.500  0.500
Te  0.500  0.000  0.500
Mo  0.500  0.500  0.500
N  0.500  0.500  0.000

Computed properties:
- SG = P4/mmm
- total moment (μB per formula unit) = 0.3

=====

Arrangement 2

The following is a DFT calculation (PBE-GGA) of a relaxed structure of ScTe2MoN.

a = 5.633 Å, b = 5.633 Å, c = 3.889 Å
α = 90.00°, β = 90.00°, γ = 90.00°
Sites, in units of the cell vectors:
Sc  0.000  0.000  0.000
Te  0.000  0.500  0.000
Te  0.500  0.000  0.000
Mo  0.500  0.500  0.500
N  0.000  0.000  0.500

Computed properties:
- SG = P4/mmm
- total moment (μB per formula unit) = 4.3

=====

Decreasing stability: arrangement 1, arrangement 2

=====

Arrangement 1

The following is a DFT calculation (PBE-GGA) of a relaxed structure of MoSe2N2.

a = 3.901 Å, b = 3.901 Å, c = 5.543 Å
α = 90.00°, β = 90.00°, γ = 90.00°
Sites, in units of the cell vectors:
Mo  0.000  0.000  0.000
Se  0.000  0.000  0.500
Se  0.500  0.500  0.500
N  0.000  0.500  0.000
N  0.500  0.000  0.000

Computed properties:
- SG = P4/mmm
- total moment (μB per formula unit) = 0.8

=====

Arrangement 2

The following is a DFT calculation (PBE-GGA) of a relaxed structure of MoSe2N2.

a = 4.116 Å, b = 4.116 Å, c = 4.383 Å
α = 90.00°, β = 90.00°, γ = 90.00°
Sites, in units of the cell vectors:
Mo  0.000  0.000  0.000
Se  0.000  0.500  0.500
Se  0.500  0.000  0.500
N  0.000  0.500  0.000
N  0.500  0.000  0.000

Computed properties:
- SG = P4/mmm
- total moment (μB per formula unit) = 0.0

=====

Decreasing stability: arrangement 1, arrangement 2

=====

Arrangement 1

The following is a DFT calculation (PBE-GGA) of a relaxed structure of MoSe2N2.

a = 5.032 Å, b = 5.032 Å, c = 3.823 Å
α = 90.00°, β = 90.00°, γ = 90.00°
Sites, in units of the cell vectors:
Mo  0.000  0.000  0.000
Se  0.000  0.500  0.000
Se  0.500  0.000  0.000
N  0.000  0.000  0.500
N  0.500  0.500  0.500

Computed properties:
- SG = P4/mmm
- total moment (μB per formula unit) = 1.9

=====

Arrangement 2

The following is a DFT calculation (PBE-GGA) of a relaxed structure of MoSe2N2.

a = 4.211 Å, b = 4.211 Å, c = 3.841 Å
α = 90.00°, β = 90.00°, γ = 90.00°
Sites, in units of the cell vectors:
Mo  0.000  0.000  0.000
Se  0.000  0.500  0.500
Se  0.500  0.000  0.500
N  0.500  0.500  0.000
N  0.500  0.500  0.500

Computed properties:
- SG = P4/mmm
- total moment (μB per formula unit) = 1.8

=====

Decreasing stability: arrangement 1, arrangement 2

=====

Arrangement 1

The following is a DFT calculation (PBE-GGA) of a relaxed structure of MoSe2N2.

a = 3.314 Å, b = 3.314 Å, c = 12.381 Å
α = 95.64°, β = 95.64°, γ = 60.00°
Sites, in units of the cell vectors:
Mo  0.000  0.000  0.000
Se  0.299  0.299  0.861
Se  0.701  0.701  0.139
N  0.484  0.484  0.455
N  0.516  0.516  0.545

Computed properties:
- SG = C2/m
- total moment (μB per formula unit) = 0.0

=====

Arrangement 2

The following is a DFT calculation (PBE-GGA) of a relaxed structure of MoSe2N2.

a = 4.644 Å, b = 4.644 Å, c = 4.644 Å
α = 108.96°, β = 108.96°, γ = 110.50°
Sites, in units of the cell vectors:
Mo  0.000  0.000  0.000
Se  0.250  0.750  0.500
Se  0.750  0.250  0.500
N  0.391  0.391  0.000
N  0.609  0.609  0.000

Computed properties:
- SG = I4/mmm
- total moment (μB per formula unit) = 0.0

=====

Arrangement 3

The following is a DFT calculation (PBE-GGA) of a relaxed structure of MoSe2N2.

a = 3.728 Å, b = 3.728 Å, c = 6.878 Å
α = 90.00°, β = 90.00°, γ = 90.00°
Sites, in units of the cell vectors:
Mo  0.000  0.000  0.000
Se  0.500  0.500  0.000
Se  0.500  0.500  0.500
N  0.000  0.500  0.500
N  0.500  0.000  0.500

Computed properties:
- SG = P4/mmm
- total moment (μB per formula unit) = 3.4

=====

Decreasing stability: arrangement 1, arrangement 2, arrangement 3